Run A
Compound: Tl2AgH
Source: Alexandria via LeMat-Bulk
Functional: PBE
Structure: optimized geometry

Lattice parameters (Å, degrees): 4.9562 4.9562 4.9562 60.00 60.00 60.00
With the nearest neighbours (Å) after each atom.
Fractional coordinates of all 4 atoms:
Tl (0.2500, 0.2500, 0.2500)  4 H 3.04, 4 Ag 3.04
Tl (0.7500, 0.7500, 0.7500)  4 H 3.04, 4 Ag 3.04
Ag (0.0000, 0.0000, 0.0000)  8 Tl 3.04
H (0.5000, 0.5000, 0.5000)  8 Tl 3.04

Summary:
- space-group type = Fm-3m (225)

---

Run B
Compound: Tl2AgH
Source: Alexandria via LeMat-Bulk
Functional: PBE
Structure: optimized geometry

Lattice parameters (Å, degrees): 7.3476 7.3476 7.3476 133.71 133.71 67.54
With the nearest neighbours (Å) after each atom.
Fractional coordinates of all 8 atoms:
Tl (0.0373, 0.6250, 0.9123)  2 H 2.30
Tl (0.3750, 0.2873, 0.4123)  2 H 2.30
Tl (0.7127, 0.1250, 0.0877)  2 H 2.30
Tl (0.8750, 0.9627, 0.5877)  2 H 2.30
Ag (0.2500, 0.7500, 0.5000)  4 Tl 2.87
Ag (0.5000, 0.5000, 0.0000)  4 Tl 2.87
H (0.0000, 0.0000, 0.0000)  4 Tl 2.30
H (0.7500, 0.2500, 0.5000)  4 Tl 2.30

Summary:
- space-group type = I-42d (122)

---

In terms of stability, run B leads; the second structure lies 11 meV/atom higher.

---

Run A
Compound: Tl2AgH2
Source: Alexandria via LeMat-Bulk
Functional: PBE
Structure: optimized geometry

Lattice parameters (Å, degrees): 6.0355 6.0355 5.0813 90.00 90.00 90.00
With the nearest neighbours (Å) after each atom.
Fractional coordinates of all 10 atoms:
Tl (0.1911, 0.3089, 0.0000)  2 H 2.59
Tl (0.3089, 0.8089, 0.0000)  2 H 2.59
Tl (0.6911, 0.1911, 0.0000)  2 H 2.59
Tl (0.8089, 0.6911, 0.0000)  2 H 2.59
Ag (0.0000, 0.0000, 0.5000)  4 H 2.13
Ag (0.5000, 0.5000, 0.5000)  4 H 2.13
H (0.2478, 0.7478, 0.5000)  2 Ag 2.13
H (0.2522, 0.2478, 0.5000)  2 Ag 2.13
H (0.7478, 0.7522, 0.5000)  2 Ag 2.13
H (0.7522, 0.2522, 0.5000)  2 Ag 2.13

Summary:
- space-group type = P4/mbm (127)

---

Run B
Compound: Tl2AgH2
Source: Alexandria via LeMat-Bulk
Functional: PBE
Structure: optimized geometry

Lattice parameters (Å, degrees): 5.0017 5.0017 5.0017 118.36 118.36 92.87
With the nearest neighbours (Å) after each atom.
Fractional coordinates of all 5 atoms:
Tl (0.2500, 0.7500, 0.5000)  4 H 2.89, 4 Ag 3.09
Tl (0.7500, 0.2500, 0.5000)  4 H 2.89, 4 Ag 3.09
Ag (0.0000, 0.0000, 0.0000)  2 H 3.06, 8 Tl 3.09
H (0.4445, 0.4445, 0.0000)  1 H 0.77
H (0.5555, 0.5555, 0.0000)  1 H 0.77

Summary:
- space-group type = I4/mmm (139)

---

Run C
Compound: Tl2AgH2
Source: Alexandria via LeMat-Bulk
Functional: PBE
Structure: optimized geometry

Lattice parameters (Å, degrees): 7.2726 7.2726 7.2726 151.42 151.42 40.86
With the nearest neighbours (Å) after each atom.
Fractional coordinates of all 5 atoms:
Tl (0.1438, 0.1438, 0.0000)  4 H 2.31
Tl (0.8562, 0.8562, 0.0000)  4 H 2.31
Ag (0.5000, 0.5000, 0.0000)  8 Tl 3.21, 4 Ag 3.59
H (0.2500, 0.7500, 0.5000)  4 Tl 2.31, 4 H 2.54
H (0.7500, 0.2500, 0.5000)  4 Tl 2.31, 4 H 2.54

Summary:
- space-group type = I4/mmm (139)

---

In terms of stability, run B leads; the second structure lies 245 meV/atom higher.

---

Run A
Compound: TlAgH2
Source: Alexandria via LeMat-Bulk
Functional: PBE
Structure: optimized geometry

Lattice parameters (Å, degrees): 5.6333 5.6333 5.6333 119.60 119.60 90.69
With the nearest neighbours (Å) after each atom.
Fractional coordinates of all 8 atoms:
Tl (0.0000, 0.0000, 0.0000)  4 H 2.80
Tl (0.7500, 0.2500, 0.5000)  4 H 2.80
Ag (0.2500, 0.7500, 0.5000)  4 H 1.84
Ag (0.5000, 0.5000, 0.0000)  4 H 1.84
H (0.2635, 0.6250, 0.1385)  2 Ag 1.84
H (0.3750, 0.5135, 0.6385)  2 Ag 1.84
H (0.4865, 0.1250, 0.8615)  2 Ag 1.84
H (0.8750, 0.7365, 0.3615)  2 Ag 1.84

Summary:
- space-group type = I-42d (122)

---

Run B
Compound: TlAgH2
Source: Alexandria via LeMat-Bulk
Functional: PBE
Structure: optimized geometry

Lattice parameters (Å, degrees): 4.3216 4.3216 4.3216 60.00 60.00 60.00
With the nearest neighbours (Å) after each atom.
Fractional coordinates of all 4 atoms:
Tl (0.0000, 0.0000, 0.0000)  8 H 2.65
Ag (0.5000, 0.5000, 0.5000)  8 H 2.65
H (0.2500, 0.2500, 0.2500)  4 Tl 2.65, 4 Ag 2.65
H (0.7500, 0.7500, 0.7500)  4 Tl 2.65, 4 Ag 2.65

Summary:
- space-group type = Fm-3m (225)

---

In terms of stability, run A leads; the second structure lies 486 meV/atom higher.

---

Run A
Compound: Tl2Ag2H
Source: Alexandria via LeMat-Bulk
Functional: PBE
Structure: optimized geometry

Lattice parameters (Å, degrees): 5.9378 5.9378 5.7404 90.00 90.00 90.00
With the nearest neighbours (Å) after each atom.
Fractional coordinates of all 10 atoms:
Tl (0.1827, 0.3173, 0.0000)  5 Tl 3.07, 2 Ag 3.08
Tl (0.3173, 0.8173, 0.0000)  5 Tl 3.07, 2 Ag 3.08
Tl (0.6827, 0.1827, 0.0000)  5 Tl 3.07, 2 Ag 3.08
Tl (0.8173, 0.6827, 0.0000)  5 Tl 3.07, 2 Ag 3.08
Ag (0.1831, 0.6831, 0.5000)  2 H 2.17
Ag (0.3169, 0.1831, 0.5000)  2 H 2.17
Ag (0.6831, 0.8169, 0.5000)  2 H 2.17
Ag (0.8169, 0.3169, 0.5000)  2 H 2.17
H (0.0000, 0.0000, 0.5000)  4 Ag 2.17
H (0.5000, 0.5000, 0.5000)  4 Ag 2.17

Summary:
- space-group type = P4/mbm (127)

---

Run B
Compound: Tl2Ag2H
Source: Alexandria via LeMat-Bulk
Functional: PBE
Structure: optimized geometry

Lattice parameters (Å, degrees): 5.2831 5.2831 5.2831 110.98 110.98 106.50
With the nearest neighbours (Å) after each atom.
Fractional coordinates of all 5 atoms:
Tl (0.2500, 0.7500, 0.5000)  4 Ag 3.00, 2 Tl 3.16
Tl (0.7500, 0.2500, 0.5000)  4 Ag 3.00, 2 Tl 3.16
Ag (0.2141, 0.2141, 0.0000)  1 H 1.81
Ag (0.7859, 0.7859, 0.0000)  1 H 1.81
H (0.5000, 0.5000, 0.0000)  2 Ag 1.81

Summary:
- space-group type = I4/mmm (139)

---

In terms of stability, run B leads; the second structure lies 28 meV/atom higher.